Material: NaLa3Hg5
Method: DFT, PBE
State: relaxed

extended XYZ file:
```
18
Lattice="9.440 0.000 0.000 -4.720 8.176 0.000 0.000 0.000 6.642" Properties=species:S:1:pos:R:3 pbc="T T T"
Na 0.000 0.000 0.000
Na 0.000 0.000 3.321
La -1.723 2.985 1.661
La -2.997 5.191 4.982
La 3.446 0.000 1.661
La 1.723 2.985 4.982
La 5.994 0.000 4.982
La 2.997 5.191 1.661
Hg -1.416 2.452 4.982
Hg -3.305 5.724 1.661
Hg 2.831 0.000 4.982
Hg 1.416 2.452 1.661
Hg 0.000 5.450 0.000
Hg 0.000 5.450 3.321
Hg 4.720 2.725 0.000
Hg 4.720 2.725 3.321
Hg 6.609 0.000 1.661
Hg 3.305 5.724 4.982
```

Values from the calculation:
energy of formation = -0.432 eV/atom
uncorrected energy = -43.01 eV/cell
DOS(E_F) = 16.183 states/eV/cell

***

Material: Na4LaHg5
Method: DFT, PBE
State: relaxed

extended XYZ file:
```
10
Lattice="3.730 0.000 0.000 0.000 3.730 0.000 0.000 0.000 19.250" Properties=species:S:1:pos:R:3 pbc="T T T"
Na 0.000 0.000 1.866
Na 0.000 0.000 5.658
Na 0.000 0.000 13.593
Na 0.000 0.000 17.384
La 0.000 0.000 9.625
Hg 1.865 1.865 0.000
Hg 1.865 1.865 3.724
Hg 1.865 1.865 7.564
Hg 1.865 1.865 11.686
Hg 1.865 1.865 15.527
```

Values from the calculation:
energy of formation = -0.287 eV/atom
uncorrected energy = -14.58 eV/cell
DOS(E_F) = 6.200 states/eV/cell

***

Material: NaLa4Hg3
Method: DFT, PBE
State: relaxed

extended XYZ file:
```
8
Lattice="-2.786 2.786 7.886 2.786 -2.786 7.886 2.786 2.786 -7.886" Properties=species:S:1:pos:R:3 pbc="T T T"
Na 0.000 0.000 0.000
La 2.786 0.000 2.062
La 2.786 0.000 5.824
La 0.000 2.786 2.062
La 0.000 2.786 5.824
Hg 0.000 0.000 3.908
Hg 0.000 0.000 7.886
Hg 0.000 0.000 11.864
```

Values from the calculation:
energy of formation = -0.317 eV/atom
uncorrected energy = -24.47 eV/cell
DOS(E_F) = 8.917 states/eV/cell

***

Material: NaLa3Hg
Method: DFT, PBE
State: relaxed

extended XYZ file:
```
5
Lattice="6.071 0.000 0.000 0.000 6.071 0.000 0.000 0.000 6.071" Properties=species:S:1:pos:R:3 pbc="T T T"
Na 0.000 0.000 0.000
La 0.000 3.035 3.035
La 3.035 0.000 3.035
La 3.035 3.035 0.000
Hg 3.035 3.035 3.035
```

Values from the calculation:
energy of formation = 0.230 eV/atom
uncorrected energy = -15.25 eV/cell
DOS(E_F) = 12.398 states/eV/cell

***

Material: Na2LaHg2
Method: DFT, PBE
State: relaxed

extended XYZ file:
```
5
Lattice="-2.165 2.165 7.582 2.165 -2.165 7.582 2.165 2.165 -7.582" Properties=species:S:1:pos:R:3 pbc="T T T"
Na 2.165 0.000 3.791
Na 0.000 2.165 3.791
La 0.000 0.000 0.000
Hg 0.000 0.000 6.055
Hg 0.000 0.000 9.108
```

Values from the calculation:
energy of formation = -0.234 eV/atom
uncorrected energy = -9.34 eV/cell
DOS(E_F) = 3.759 states/eV/cell

***

Material: Na2LaHg2
Method: DFT, PBE
State: relaxed

extended XYZ file:
```
10
Lattice="8.851 0.000 0.000 0.000 8.851 0.000 0.000 0.000 3.402" Properties=species:S:1:pos:R:3 pbc="T T T"
Na 1.017 3.408 0.000
Na 3.408 7.834 0.000
Na 5.443 1.017 0.000
Na 7.834 5.443 0.000
La 0.000 0.000 0.000
La 4.426 4.426 0.000
Hg 1.650 6.075 1.701
Hg 2.776 1.650 1.701
Hg 6.075 7.202 1.701
Hg 7.202 2.776 1.701
```

Values from the calculation:
energy of formation = -0.180 eV/atom
uncorrected energy = -18.14 eV/cell
DOS(E_F) = 7.610 states/eV/cell

***

Material: Na3La2Hg4
Method: DFT, PBE
State: relaxed

extended XYZ file:
```
9
Lattice="4.613 -2.658 0.000 4.613 2.658 0.000 -0.060 0.000 10.448" Properties=species:S:1:pos:R:3 pbc="T T T"
Na 0.000 0.000 0.000
Na 3.062 0.000 4.449
Na 6.104 0.000 5.999
La 3.017 0.000 8.355
La 6.149 0.000 2.092
Hg -0.005 0.000 3.485
Hg 3.077 0.000 1.100
Hg 6.089 0.000 9.347
Hg 9.171 0.000 6.963
```

Values from the calculation:
energy of formation = -0.328 eV/atom
uncorrected energy = -17.97 eV/cell
DOS(E_F) = 5.908 states/eV/cell

***

Material: NaLaHg17
Method: DFT, PBE
State: relaxed

extended XYZ file:
```
19
Lattice="4.758 2.747 6.660 -4.758 2.747 6.660 0.000 -5.494 6.660" Properties=species:S:1:pos:R:3 pbc="T T T"
Na 0.000 0.000 0.000
La 0.000 0.000 10.954
Hg -2.795 -1.614 9.861
Hg 0.000 0.000 3.602
Hg 0.000 -2.767 8.806
Hg -2.396 1.383 8.806
Hg -1.472 -2.963 12.217
Hg -3.302 0.207 12.217
Hg 0.000 0.000 7.370
Hg -1.775 -1.025 14.491
Hg 1.472 -2.963 12.217
Hg -1.830 2.756 12.217
Hg 2.795 -1.614 9.861
Hg 0.000 3.228 9.861
Hg 2.396 1.383 8.806
Hg 1.775 -1.025 14.492
Hg 0.000 2.050 14.492
Hg 3.302 0.207 12.217
Hg 1.830 2.756 12.217
```

Values from the calculation:
energy of formation = -0.094 eV/atom
uncorrected energy = -13.16 eV/cell
DOS(E_F) = 5.874 states/eV/cell

***

Material: NaLa2Hg2
Method: DFT, PBE
State: relaxed

extended XYZ file:
```
5
Lattice="-2.304 2.304 8.158 2.304 -2.304 8.158 2.304 2.304 -8.158" Properties=species:S:1:pos:R:3 pbc="T T T"
Na 0.000 0.000 0.000
La 0.000 0.000 6.289
La 0.000 0.000 10.027
Hg 2.304 0.000 4.079
Hg 0.000 2.304 4.079
```

Values from the calculation:
energy of formation = 0.006 eV/atom
uncorrected energy = -11.75 eV/cell
DOS(E_F) = 7.008 states/eV/cell

***

Material: Na5LaHg6
Method: DFT, PBE
State: relaxed

extended XYZ file:
```
12
Lattice="-2.672 3.734 8.022 2.672 -3.734 8.022 2.672 3.734 -8.022" Properties=species:S:1:pos:R:3 pbc="T T T"
Na 0.000 0.000 0.000
Na 2.672 0.000 2.721
Na 0.000 0.000 5.309
Na 0.000 0.000 10.736
Na 0.000 3.734 5.301
La 0.000 3.734 0.000
Hg 2.672 -1.926 5.390
Hg 2.672 1.798 0.000
Hg 0.000 1.808 2.632
Hg 2.672 1.926 5.390
Hg 0.000 1.937 8.022
Hg 0.000 5.660 2.632
```

Values from the calculation:
energy of formation = -0.272 eV/atom
uncorrected energy = -16.59 eV/cell
DOS(E_F) = 7.061 states/eV/cell

***

Material: Na2LaHg
Method: DFT, PBE
State: relaxed

extended XYZ file:
```
4
Lattice="1.741 1.005 12.084 -1.741 1.005 12.084 0.000 -2.011 12.084" Properties=species:S:1:pos:R:3 pbc="T T T"
Na 0.000 0.000 3.486
Na 0.000 0.000 32.765
La 0.000 0.000 0.000
Hg 0.000 0.000 18.126
```

Values from the calculation:
energy of formation = 0.047 eV/atom
uncorrected energy = -7.68 eV/cell
DOS(E_F) = 4.276 states/eV/cell

***

Material: NaLaHg2
Method: DFT, PBE
State: relaxed

extended XYZ file:
```
4
Lattice="1.932 1.115 9.429 -1.932 1.115 9.429 0.000 -2.230 9.429" Properties=species:S:1:pos:R:3 pbc="T T T"
Na 0.000 0.000 0.000
La 0.000 0.000 23.556
Hg 0.000 0.000 7.111
Hg 0.000 0.000 11.726
```

Values from the calculation:
energy of formation = -0.230 eV/atom
uncorrected energy = -7.77 eV/cell
DOS(E_F) = 2.768 states/eV/cell

***

Repeat the fourth record exactly.
Material: NaLa3Hg
Method: DFT, PBE
State: relaxed

extended XYZ file:
```
5
Lattice="6.071 0.000 0.000 0.000 6.071 0.000 0.000 0.000 6.071" Properties=species:S:1:pos:R:3 pbc="T T T"
Na 0.000 0.000 0.000
La 0.000 3.035 3.035
La 3.035 0.000 3.035
La 3.035 3.035 0.000
Hg 3.035 3.035 3.035
```

Values from the calculation:
energy of formation = 0.230 eV/atom
uncorrected energy = -15.25 eV/cell
DOS(E_F) = 12.398 states/eV/cell

***

What is the uncorrected energy in the third record?
-24.47 eV/cell

***

Which of these has the lowest DOS(E_F)?
NaLaHg2